1.
A relaxed structure of Rb2BaReTe. Source: Alexandria via LeMat-Bulk, functional PBE-GGA.

POSCAR file:
```
Rb2BaReTe
1.0
6.971 0.000 0.000
0.000 6.971 0.000
0.000 0.000 5.348
Rb Ba Re Te
2 1 1 1
direct
0.000 0.500 0.000
0.500 0.000 0.000
0.000 0.000 0.000
0.000 0.000 0.500
0.500 0.500 0.500
```

Electronic total energy, eV per atom: -2.7034
Mass density, g cm⁻³: 3.97
Magnetization, μB/atom: 0.511
Symmetry: P4/mmm
V, A^3/atom: 51.98
Density of states at the Fermi level, states/eV/f.u.: 3.44

***

2.
A relaxed structure of La2Sc2Pb. Source: Alexandria via LeMat-Bulk, functional PBE-GGA.

POSCAR file:
```
La2Sc2Pb
1.0
-2.134 2.134 8.954
2.134 -2.134 8.954
2.134 2.134 -8.954
La Sc Pb
2 2 1
direct
0.089 0.089 0.000
0.911 0.911 0.000
0.250 0.750 0.500
0.750 0.250 0.500
0.500 0.500 0.000
```

Mass density, g cm⁻³: 5.85
Magnetization, μB/atom: 0.089
Symmetry: I4/mmm
Energy of formation from the pure elements, eV per atom: 0.1115
V, A^3/atom: 32.63
Distance to the lowest polymorph of the same formula, meV per atom: 279
Density of states at the Fermi level, states/eV/f.u.: 7.78

***

3.
A relaxed structure of Li3NpCl6. Source: Alexandria via LeMat-Bulk, functional PBE-GGA.

POSCAR file:
```
Li3NpCl6
1.0
6.650 0.000 0.000
0.000 6.785 0.000
-6.535 0.000 10.431
Li Np Cl
6 2 12
direct
0.000 0.000 0.000
0.000 0.500 0.500
0.258 0.011 0.741
0.258 0.489 0.241
0.742 0.511 0.759
0.742 0.989 0.259
0.500 0.000 0.500
0.500 0.500 0.000
0.079 0.181 0.430
0.079 0.319 0.930
0.247 0.660 0.413
0.247 0.840 0.913
0.401 0.126 0.261
0.401 0.374 0.761
0.599 0.626 0.239
0.599 0.874 0.739
0.753 0.160 0.087
0.753 0.340 0.587
0.921 0.681 0.070
0.921 0.819 0.570
```

Mass density, g cm⁻³: 3.32
Magnetization, μB/atom: 0.400
Symmetry: P2_1/c
V, A^3/atom: 23.53
Distance to the lowest polymorph of the same formula, meV per atom: 0
Density of states at the Fermi level, states/eV/f.u.: 5.74

***

Please write out number 2 again, unchanged.
A relaxed structure of La2Sc2Pb. Source: Alexandria via LeMat-Bulk, functional PBE-GGA.

POSCAR file:
```
La2Sc2Pb
1.0
-2.134 2.134 8.954
2.134 -2.134 8.954
2.134 2.134 -8.954
La Sc Pb
2 2 1
direct
0.089 0.089 0.000
0.911 0.911 0.000
0.250 0.750 0.500
0.750 0.250 0.500
0.500 0.500 0.000
```

Mass density, g cm⁻³: 5.85
Magnetization, μB/atom: 0.089
Symmetry: I4/mmm
Energy of formation from the pure elements, eV per atom: 0.1115
V, A^3/atom: 32.63
Distance to the lowest polymorph of the same formula, meV per atom: 279
Density of states at the Fermi level, states/eV/f.u.: 7.78